--- 1 ---
TiInN2F, optimized geometry, DFT PBE; symmetry = P4/mmm (123)
1.0
4.1779 0.0000 0.0000
0.0000 4.1779 0.0000
0.0000 0.0000 4.0350
Ti In N F
1 1 2 1
direct
0.0000 0.0000 0.0000
0.5000 0.5000 0.5000
0.0000 0.5000 0.5000
0.5000 0.0000 0.5000
0.5000 0.5000 0.0000

--- 2 ---
TiInN2F, optimized geometry, DFT PBE; symmetry = P4/mmm (123)
1.0
4.0693 0.0000 0.0000
0.0000 4.0693 0.0000
0.0000 0.0000 3.8809
Ti In N F
1 1 2 1
direct
0.0000 0.0000 0.0000
0.5000 0.5000 0.5000
0.0000 0.5000 0.0000
0.5000 0.0000 0.0000
0.0000 0.0000 0.5000

In kJ/mol of atoms, relative to the most stable structure: 1 110.1; 2 0.0.

--- 1 ---
TlInNF2, optimized geometry, DFT PBE; symmetry = P4/mmm (123)
1.0
4.4573 0.0000 0.0000
0.0000 4.4573 0.0000
0.0000 0.0000 6.5208
Tl In N F
1 1 1 2
direct
0.0000 0.0000 0.0000
0.0000 0.0000 0.5000
0.5000 0.5000 0.5000
0.0000 0.5000 0.0000
0.5000 0.0000 0.0000

--- 2 ---
TlInNF2, optimized geometry, DFT PBE; symmetry = P4/mmm (123)
1.0
4.4459 0.0000 0.0000
0.0000 4.4459 0.0000
0.0000 0.0000 4.2455
Tl In N F
1 1 1 2
direct
0.0000 0.0000 0.0000
0.5000 0.5000 0.5000
0.5000 0.5000 0.0000
0.0000 0.5000 0.5000
0.5000 0.0000 0.5000

--- 3 ---
TlInNF2, optimized geometry, DFT PBE; symmetry = P4/mmm (123)
1.0
4.6885 0.0000 0.0000
0.0000 4.6885 0.0000
0.0000 0.0000 4.2094
Tl In N F
1 1 1 2
direct
0.0000 0.0000 0.0000
0.5000 0.5000 0.5000
0.0000 0.0000 0.5000
0.0000 0.5000 0.0000
0.5000 0.0000 0.0000

In kJ/mol of atoms, relative to the most stable structure: 1 90.6; 2 0.0; 3 46.9.